Cs2CrH8Cl5O4: optimized geometry, PBE+U.

a b c (Å): 10.2988 10.2988 14.1770
angles (deg): 62.73 62.73 34.99
Each line ends with the local moment (μB).
Fractional positions:
H (0.6319, 0.1582, 0.4930)  0.00
H (0.6915, 0.3401, 0.6125)  0.00
H (0.7922, 0.2763, 0.1257)  0.00
H (0.2078, 0.7237, 0.8743)  0.00
H (0.5733, 0.2513, 0.0066)  0.00
H (0.6599, 0.3085, 0.8875)  0.00
H (0.2763, 0.7922, 0.6257)  0.00
H (0.2513, 0.5733, 0.5066)  0.00
H (0.3681, 0.8418, 0.5070)  0.00
H (0.7487, 0.4267, 0.4934)  0.00
H (0.3085, 0.6599, 0.3875)  0.00
H (0.4267, 0.7487, 0.9934)  0.00
H (0.3401, 0.6915, 0.1125)  0.00
H (0.1582, 0.6319, 0.9930)  0.00
H (0.8418, 0.3681, 0.0070)  0.00
H (0.7237, 0.2078, 0.3743)  0.00
Cl (0.8990, 0.8846, 0.6716)  -0.04
Cl (0.8846, 0.8990, 0.1716)  -0.04
Cl (0.3192, 0.3014, 0.5699)  -0.03
Cl (0.3014, 0.3192, 0.0699)  -0.03
Cl (0.1010, 0.1154, 0.3284)  -0.04
Cl (0.5115, 0.4885, 0.2500)  -0.01
Cl (0.4885, 0.5115, 0.7500)  -0.01
Cl (0.6808, 0.6986, 0.4301)  -0.03
Cl (0.1154, 0.1010, 0.8284)  -0.04
Cl (0.6986, 0.6808, 0.9301)  -0.03
Cr (0.0000, 0.0000, 0.0000)  2.98
Cr (0.0000, 0.0000, 0.5000)  2.98
Cs (0.2878, 0.3086, 0.3288)  0.00
Cs (0.6914, 0.7122, 0.1712)  0.00
Cs (0.3086, 0.2878, 0.8288)  0.00
Cs (0.7122, 0.6914, 0.6712)  0.00
O (0.9030, 0.2244, 0.0574)  -0.02
O (0.0970, 0.7756, 0.9426)  -0.02
O (0.7490, 0.3172, 0.5365)  -0.01
O (0.2244, 0.9030, 0.5574)  -0.02
O (0.6828, 0.2510, 0.9635)  -0.01
O (0.7756, 0.0970, 0.4426)  -0.02
O (0.2510, 0.6828, 0.4635)  -0.01
O (0.3172, 0.7490, 0.0365)  -0.01

Properties
- theoretical density (g/cm3) = 2.491
- E (eV/atom) = -4.55